DFT (PBE) results for a relaxed Y2PtI crystal.

Cell and atoms, written as extended XYZ:
```
4
Lattice="-2.221 -3.322 -1.182 -1.746 -2.467 2.869 -7.902 2.530 0.392" Properties=species:S:1:pos:R:3 pbc="T T T"
Y -6.690 1.708 0.424
Y -2.504 -1.128 0.532
Pt -10.536 -1.336 1.517
I -5.975 -1.602 1.039
```

Computed properties:
**Formation energy from raw total energies**: -1091 meV per atom
**Total moment**: 0.0 μB per formula unit
**Space-group type**: R3m (160)
**Energy above the lowest structure with this stoichiometry**: 20 meV per atom